Entry 1:
BaLi2LaCo: optimized geometry, PBE.

Lattice parameters (Å, degrees): 5.388 5.388 4.816 90.00 90.00 90.00
Positions (direct):
Ba 0.000 0.000 0.000
Li 0.000 0.500 0.500
Li 0.500 0.000 0.500
La 0.500 0.500 0.000
Co 0.500 0.500 0.500

formation energy: 157 meV/atom
spin magnetization: 0.00 μB/f.u.


Entry 2:
TcAsIO2: optimized geometry, PBE.

Lattice parameters (Å, degrees): 3.856 3.856 6.512 90.00 90.00 90.00
Positions (direct):
Tc 0.000 0.000 0.000
As 0.500 0.500 0.500
I 0.500 0.500 0.000
O 0.000 0.500 0.500
O 0.500 0.000 0.500

spin magnetization: 3.45 μB/f.u.
formation energy (no corrections): 0.39 eV/atom


Entry 3:
TmPaP: optimized geometry, PBE.

Lattice parameters (Å, degrees): 11.967 11.967 3.413 90.00 90.00 163.62
Positions (direct):
Tm 0.193 0.807 0.750
Tm 0.807 0.193 0.250
Pa 0.058 0.942 0.750
Pa 0.942 0.058 0.250
P 0.376 0.624 0.750
P 0.624 0.376 0.250

formation energy: -560 meV/atom
spin magnetization: 0.00 μB/f.u.